[1]
TaTl2In: relaxed, PBE.

```
TaTl2In
1.0
1.636 0.945 10.279
-1.636 0.945 10.279
0.000 -1.890 10.279
Ta Tl In
1 2 1
Cartesian
0.000 0.000 0.000
0.000 0.000 7.866
0.000 0.000 22.970
0.000 0.000 15.418
```

## Properties
Energy of formation from the pure elements ... 0.471 eV/atom
Magnetization ... 0.0 μB/f.u.
Uncorrected energy ... -0.320 Ry per atom
Energy above the most stable polymorph in this dataset ... 2.43 kcal/mol of atoms

---

[2]
NdPaC: relaxed, PBE.

```
NdPaC
1.0
-1.649 1.649 6.734
1.649 -1.649 6.734
1.649 1.649 -6.734
Nd Pa C
1 1 1
Cartesian
0.000 0.000 0.000
0.000 0.000 9.753
0.000 0.000 2.477
```

## Properties
Energy of formation from the pure elements ... 0.109 eV/atom
Magnetization ... 0.0 μB/f.u.
Uncorrected energy ... -0.567 Ry per atom
Energy above the most stable polymorph in this dataset ... 4.93 kcal/mol of atoms

---

[3]
AlZn3F: relaxed, PBE.

```
AlZn3F
1.0
4.417 0.000 0.000
0.000 4.417 0.000
0.000 0.000 4.417
Al Zn F
1 3 1
Cartesian
0.000 0.000 0.000
0.000 2.209 2.209
2.209 0.000 2.209
2.209 2.209 0.000
2.209 2.209 2.209
```

## Properties
Magnetization ... 0.0 μB/f.u.
Uncorrected energy ... -0.146 Ry per atom
Uncorrected formation energy ... -0.093 eV per atom
Energy above the most stable polymorph in this dataset ... 0.00 kcal/mol of atoms

---

[4]
CoSi2SnP: relaxed, PBE.

```
CoSi2SnP
1.0
4.719 0.000 0.000
0.000 4.719 0.000
0.000 0.000 4.184
Co Si Sn P
1 2 1 1
Cartesian
0.000 0.000 0.000
0.000 2.359 2.092
2.359 0.000 2.092
2.359 2.359 0.000
0.000 0.000 2.092
```

## Properties
Magnetization ... 1.1 μB/f.u.
Uncorrected energy ... -0.358 Ry per atom
Uncorrected formation energy ... 0.600 eV per atom